[1]
# Ac4Ge2S, relaxed, DFT PBE
# Energy relative to the lowest polymorph listed for this composition: 1.953 eV/f.u.
data_Ac4Ge2S
_space_group_name_H-M_alt 'I 4/m m m'
_space_group_IT_number 139
_space_group_name_Hall '-I 4 2'
_cell_length_a 5.5371
_cell_length_b 5.5371
_cell_length_c 16.6311
_cell_angle_alpha 90.00
_cell_angle_beta 90.00
_cell_angle_gamma 90.00
loop_
_atom_site_label
_atom_site_type_symbol
_atom_site_fract_x
_atom_site_fract_y
_atom_site_fract_z
_atom_site_occupancy
Ac1 Ac 0.0000 0.0000 0.1837 1
Ac2 Ac 0.0000 0.5000 0.0000 1
Ge1 Ge 0.0000 0.0000 0.3728 1
S1 S 0.0000 0.0000 0.0000 1

[2]
# Pm8InPb5, relaxed, DFT PBE
# Formation enthalpy at 0 K: -12.28 kcal/mol of atoms
data_Pm8InPb5
_space_group_name_H-M_alt 'I -4'
_space_group_IT_number 82
_cell_length_a 9.6333
_cell_length_b 9.6333
_cell_length_c 9.6351
_cell_angle_alpha 90.00
_cell_angle_beta 90.00
_cell_angle_gamma 90.00
loop_
_space_group_symop_operation_xyz
'x,y,z'
'y,-x,-z'
'-x,-y,z'
'-y,x,-z'
'x+1/2,y+1/2,z+1/2'
'y+1/2,-x+1/2,-z+1/2'
'-x+1/2,-y+1/2,z+1/2'
'-y+1/2,x+1/2,-z+1/2'
loop_
_atom_site_label
_atom_site_type_symbol
_atom_site_fract_x
_atom_site_fract_y
_atom_site_fract_z
_atom_site_occupancy
Pm1 Pm 0.0676 0.1799 0.1962 1
Pm2 Pm 0.0718 0.3193 0.5554 1
In1 In 0.0000 0.5000 0.2500 1
Pb1 Pb 0.0000 0.0000 0.5000 1
Pb2 Pb 0.1251 0.2515 0.8762 1

[3]
# HoCuSn2, relaxed, DFT PBE
# Formation enthalpy at 0 K: -7.97 kcal/mol of atoms
data_HoCuSn2
_space_group_name_H-M_alt 'P 4/m m m'
_space_group_IT_number 123
_space_group_name_Hall '-P 4 2'
_cell_length_a 4.5075
_cell_length_b 4.5075
_cell_length_c 4.3604
_cell_angle_alpha 90.00
_cell_angle_beta 90.00
_cell_angle_gamma 90.00
loop_
_atom_site_label
_atom_site_type_symbol
_atom_site_fract_x
_atom_site_fract_y
_atom_site_fract_z
_atom_site_occupancy
Ho1 Ho 0.0000 0.0000 0.0000 1
Cu1 Cu 0.5000 0.5000 0.0000 1
Sn1 Sn 0.0000 0.5000 0.5000 1

[4]
# AlInIr2, relaxed, DFT PBE
# Formation enthalpy at 0 K: 2.19 kcal/mol of atoms
data_AlInIr2
_space_group_name_H-M_alt 'F -4 3 m'
_space_group_IT_number 216
_space_group_name_Hall 'F -4 2 3'
_cell_length_a 6.3769
_cell_length_b 6.3769
_cell_length_c 6.3769
_cell_angle_alpha 90.00
_cell_angle_beta 90.00
_cell_angle_gamma 90.00
loop_
_atom_site_label
_atom_site_type_symbol
_atom_site_fract_x
_atom_site_fract_y
_atom_site_fract_z
_atom_site_occupancy
Al1 Al 0.0000 0.0000 0.0000 1
In1 In 0.2500 0.2500 0.2500 1
Ir1 Ir 0.0000 0.0000 0.5000 1
Ir2 Ir 0.2500 0.2500 0.7500 1